This record from Alexandria via LeMat-Bulk describes a relaxed structure of CuSbWO6. The functional is GGA+U.

Electronic total energy: -6.3432 eV per atom
Total moment: 0.2 Bohr magnetons per cell

```
data_CuSbWO6
_symmetry_space_group_name_H-M 'P -3 1 c'
_symmetry_Int_Tables_number 163
_symmetry_space_group_name_Hall '-P 3 2c'
_cell_length_a 5.2844
_cell_length_b 5.2844
_cell_length_c 9.3042
_cell_angle_alpha 90.00
_cell_angle_beta 90.00
_cell_angle_gamma 120.00
loop_
_atom_site_label
_atom_site_fract_x
_atom_site_fract_y
_atom_site_fract_z
_atom_site_occupancy
Cu1 0.0000 0.0000 0.0000 1
Sb1 0.3333 0.6667 0.2500 1
W1 0.3333 0.6667 0.7500 1
O1 0.0086 0.3680 0.6340 1
```



This record from Alexandria via LeMat-Bulk describes a relaxed structure of CuSbWO2. The functional is GGA+U.

Electronic total energy: -4.6852 eV per atom
Total moment: 3.7 Bohr magnetons per cell

```
data_CuSbWO2
_symmetry_space_group_name_H-M 'P 4/m m m'
_symmetry_Int_Tables_number 123
_symmetry_space_group_name_Hall '-P 4 2'
_cell_length_a 3.945
_cell_length_b 3.945
_cell_length_c 5.982
_cell_angle_alpha 90.00
_cell_angle_beta 90.00
_cell_angle_gamma 90.00
loop_
_atom_site_label
_atom_site_fract_x
_atom_site_fract_y
_atom_site_fract_z
_atom_site_occupancy
Cu1 0.000 0.000 0.000 1
Sb1 0.500 0.500 0.500 1
W1 0.500 0.500 0.000 1
O1 0.000 0.500 0.500 1
```



Q: The lowest electronic total energy belongs to which entry?
A: CuSbWO6



Q: The highest total moment belongs to which entry?
A: CuSbWO2



Q: Which formula does entry 2 have?
A: CuSbWO2



Repeat the first record exactly.
This record from Alexandria via LeMat-Bulk describes a relaxed structure of CuSbWO6. The functional is GGA+U.

Electronic total energy: -6.3432 eV per atom
Total moment: 0.2 Bohr magnetons per cell

```
data_CuSbWO6
_symmetry_space_group_name_H-M 'P -3 1 c'
_symmetry_Int_Tables_number 163
_symmetry_space_group_name_Hall '-P 3 2c'
_cell_length_a 5.2844
_cell_length_b 5.2844
_cell_length_c 9.3042
_cell_angle_alpha 90.00
_cell_angle_beta 90.00
_cell_angle_gamma 120.00
loop_
_atom_site_label
_atom_site_fract_x
_atom_site_fract_y
_atom_site_fract_z
_atom_site_occupancy
Cu1 0.0000 0.0000 0.0000 1
Sb1 0.3333 0.6667 0.2500 1
W1 0.3333 0.6667 0.7500 1
O1 0.0086 0.3680 0.6340 1
```